Below is a relaxed LaPrLuAl crystal, with properties calculated at the GGA-PBE level.

a = 5.4806 Å, b = 5.4806 Å, c = 5.4806 Å
α = 60.00°, β = 60.00°, γ = 60.00°
Last column: nearest neighbours and their distance in Å.
Element x y z (fractional)
Lu 0.5000 0.5000 0.5000  4 La 3.36, 4 Pr 3.36
Al 0.0000 0.0000 0.0000  4 Pr 3.36, 4 La 3.36
La 0.7500 0.7500 0.7500  4 Al 3.36, 4 Lu 3.36
Pr 0.2500 0.2500 0.2500  4 Lu 3.36, 4 Al 3.36

- ρ (g cm⁻³) = 6.872
- ΔE_f (kcal/mol of atoms) = -1.9
- total DFT energy (no corrections) (eV per atom) = -4.573



Below is a relaxed LaLuScAl crystal, with properties calculated at the GGA-PBE level.

a = 5.2917 Å, b = 5.2917 Å, c = 5.2917 Å
α = 60.00°, β = 60.00°, γ = 60.00°
Last column: nearest neighbours and their distance in Å.
Element x y z (fractional)
Sc 0.0000 0.0000 0.0000  4 La 3.24, 4 Lu 3.24
La 0.7500 0.7500 0.7500  4 Al 3.24, 4 Sc 3.24
Al 0.5000 0.5000 0.5000  4 La 3.24, 4 Lu 3.24
Lu 0.2500 0.2500 0.2500  4 Sc 3.24, 4 Al 3.24

- ρ (g cm⁻³) = 6.114
- ΔE_f (kcal/mol of atoms) = -2.2
- total DFT energy (no corrections) (eV per atom) = -4.977



Below is a relaxed LaLuThAl crystal, with properties calculated at the GGA-PBE level.

a = 5.4572 Å, b = 5.4572 Å, c = 5.4572 Å
α = 60.00°, β = 60.00°, γ = 60.00°
Last column: nearest neighbours and their distance in Å.
Element x y z (fractional)
Th 0.0000 0.0000 0.0000  4 Lu 3.34, 4 Al 3.34
Al 0.2500 0.2500 0.2500  4 La 3.34, 4 Th 3.34
La 0.5000 0.5000 0.5000  4 Al 3.34, 4 Lu 3.34
Lu 0.7500 0.7500 0.7500  4 Th 3.34, 4 La 3.34

- ρ (g cm⁻³) = 8.278
- ΔE_f (kcal/mol of atoms) = -0.3
- total DFT energy (no corrections) (eV per atom) = -5.168